(1)
Below is an optimized crystal structure of Pr2Nd2CI3Br2, with properties calculated at the PBE level.

```
10
Lattice="9.5806 -2.0333 0.0000 9.5806 2.0333 0.0000 -2.1182 0.0000 8.5633" Properties=species:S:1:pos:R:3 pbc="T T T"
Pr 2.4725 0.0000 0.6451
Pr 14.5704 0.0000 7.9182
Nd 9.1735 0.0000 1.6805
Nd 7.8695 0.0000 6.8828
C 0.0000 0.0000 0.0000
I -1.0591 0.0000 4.2816
I 5.9385 0.0000 1.5611
I 11.1044 0.0000 7.0022
Br 5.1065 0.0000 5.7087
Br 11.9364 0.0000 2.8546
```

Results
Spin magnetization ... 0.382 Bohr magnetons per cell
Space group ... C2/m
Polymorph energy (0 for the lowest one) ... 0.01 eV per formula unit
Total energy ... -4.878 eV/atom
Density ... 5.6 g/cm³

***

(2)
Below is an optimized crystal structure of RbTb2CuTe4, with properties calculated at the PBE level.

```
16
Lattice="2.2089 -7.6468 0.0000 2.2089 7.6468 0.0000 0.0000 0.0000 15.5139" Properties=species:S:1:pos:R:3 pbc="T T T"
Rb 2.2089 5.9516 11.6354
Rb 2.2089 -5.9516 3.8785
Tb 2.2089 2.0559 8.7625
Tb 2.2089 2.0559 14.5083
Tb 2.2089 -2.0559 1.0055
Tb 2.2089 -2.0559 6.7514
Cu 2.2089 5.1748 3.8785
Cu 2.2089 -5.1748 11.6354
Te 0.0000 0.0000 0.0000
Te 0.0000 0.0000 7.7569
Te 2.2089 3.5861 1.7372
Te 2.2089 3.5861 6.0197
Te 2.2089 1.0253 11.6354
Te 2.2089 -1.0253 3.8785
Te 2.2089 -3.5861 9.4941
Te 2.2089 -3.5861 13.7767
```

Results
Spin magnetization ... 0.001 Bohr magnetons per cell
Space group ... Cmcm
Total energy ... -4.460 eV/atom
Density ... 6.2 g/cm³

***

(3)
Below is an optimized crystal structure of NdSi2Ge2, with properties calculated at the PBE level.

```
5
Lattice="-2.1672 2.1672 5.4429 2.1672 -2.1672 5.4429 2.1672 2.1672 -5.4429" Properties=species:S:1:pos:R:3 pbc="T T T"
Nd 0.0000 0.0000 0.0000
Si 0.0000 0.0000 4.2882
Si 0.0000 0.0000 6.5976
Ge 2.1672 0.0000 2.7215
Ge 0.0000 2.1672 2.7215
```

Results
Spin magnetization ... 0.012 Bohr magnetons per cell
Space group ... I4/mmm
Polymorph energy (0 for the lowest one) ... 0.00 eV per formula unit
Total energy ... -5.059 eV/atom
Density ... 5.6 g/cm³

***

(4)
Below is an optimized crystal structure of Cs2AgPdCl5, with properties calculated at the PBE level.

```
9
Lattice="7.4495 0.0000 0.0000 0.0000 7.4495 0.0000 0.0000 0.0000 4.9442" Properties=species:S:1:pos:R:3 pbc="T T T"
Cs 0.0000 3.7247 0.0000
Cs 3.7247 0.0000 0.0000
Ag 0.0000 0.0000 2.4721
Pd 3.7247 3.7247 2.4721
Cl 0.0000 0.0000 0.0000
Cl 2.0674 2.0674 2.4721
Cl 2.0674 5.3820 2.4721
Cl 5.3820 2.0674 2.4721
Cl 5.3820 5.3820 2.4721
```

Results
Space group ... P4/mmm
Total energy ... -3.297 eV/atom
Density ... 4.0 g/cm³

***

(5)
Below is an optimized crystal structure of Nb2AgAuO4, with properties calculated at the PBE level.

```
8
Lattice="2.9691 0.0000 0.0000 -1.4845 2.5713 0.0000 0.0000 0.0000 13.7332" Properties=species:S:1:pos:R:3 pbc="T T T"
Nb 0.0000 1.7142 3.4450
Nb 1.4845 0.8571 10.2883
Ag 0.0000 0.0000 0.0000
Au 0.0000 0.0000 6.8666
O 0.0000 0.0000 2.1732
O 0.0000 0.0000 4.7169
O 0.0000 0.0000 9.0163
O 0.0000 0.0000 11.5601
```

Results
Spin magnetization ... 0.002 Bohr magnetons per cell
Space group ... P-3m1
Total energy ... -7.303 eV/atom
Density ... 8.8 g/cm³

***

(6)
Below is an optimized crystal structure of MgTaInOs, with properties calculated at the PBE level.

```
4
Lattice="0.0000 3.2627 3.2627 3.2627 0.0000 3.2627 3.2627 3.2627 0.0000" Properties=species:S:1:pos:R:3 pbc="T T T"
Mg 0.0000 0.0000 0.0000
Ta 3.2627 3.2627 3.2627
In 1.6314 1.6314 1.6314
Os 4.8941 4.8941 4.8941
```

Results
Spin magnetization ... 0.001 Bohr magnetons per cell
Space group ... F-43m
Polymorph energy (0 for the lowest one) ... 0.34 eV per formula unit
Total energy ... -6.764 eV/atom
Density ... 12.2 g/cm³

***

(7)
Below is an optimized crystal structure of ZrGaNO, with properties calculated at the PBE level.

```
8
Lattice="3.6798 0.0000 0.0000 0.0000 8.0192 0.0000 0.0000 0.0000 4.5069" Properties=species:S:1:pos:R:3 pbc="T T T"
Zr 0.0000 1.0792 0.0000
Zr 0.0000 6.9399 2.2535
Ga 1.8399 2.7233 2.2836
Ga 1.8399 5.2959 0.0301
N 0.0000 0.9916 2.2129
N 0.0000 7.0275 4.4663
O 1.8399 1.9854 4.3796
O 1.8399 6.0338 2.1261
```

Results
Spin magnetization ... 0.000 Bohr magnetons per cell
Space group ... Pmc2_1
Polymorph energy (0 for the lowest one) ... 0.10 eV per formula unit
Total energy ... -7.595 eV/atom
Density ... 4.8 g/cm³

***

(8)
Below is an optimized crystal structure of Pa2SeS3, with properties calculated at the PBE level.

```
6
Lattice="11.2850 -1.9130 0.0000 11.2850 1.9130 0.0000 -0.0013 0.0000 6.6256" Properties=species:S:1:pos:R:3 pbc="T T T"
Pa 0.0000 0.0000 0.0000
Pa 11.2731 0.0000 3.2783
Se 1.8035 0.0000 4.3984
S 9.6581 0.0000 1.0844
S 12.8940 0.0000 1.0889
S 20.9864 0.0000 4.4023
```

Results
Spin magnetization ... 2.001 Bohr magnetons per cell
Space group ... Cm
Total energy ... -7.179 eV/atom
Density ... 3.7 g/cm³